DFT (GGA-PBE) results for an optimized crystal structure of CsScCr2.

Cell and atoms, written as CIF:
```
data_CsScCr2
_chemical_formula_sum 'Cs4 Sc4 Cr8'
_cell_length_a 7.6017
_cell_length_b 7.6017
_cell_length_c 7.6017
_cell_angle_alpha 90.00
_cell_angle_beta 90.00
_cell_angle_gamma 90.00
_symmetry_space_group_name_H-M 'F m -3 m'
_symmetry_Int_Tables_number 225
_symmetry_space_group_name_Hall '-F 4 2 3'
loop_
_atom_site_label
_atom_site_fract_x
_atom_site_fract_y
_atom_site_fract_z
Cs1 0.0000 0.0000 0.0000
Sc1 0.0000 0.0000 0.5000
Cr1 0.2500 0.2500 0.2500
```

**Mass density**: 4.3 g/cm3
**Density of states at the Fermi level**: 26.44 states/eV/cell
**Formation energy from the elements**: 1.413 eV per atom